Below is a relaxed KAl2CdCl8 crystal, with properties calculated at the PBE level.

Lattice parameters (Å, degrees): 6.6783 6.6783 28.4409 90.00 90.00 120.00
Last column: nearest neighbours and their distance in Å.
Space group R-3 (No. 148, hexagonal axes)
Symmetry-distinct sites (fractional):
K 0.0000 0.0000 0.0000  12 Cl 3.62-3.86
Al 0.0000 0.0000 0.2550  4 Cl 2.15-2.16
Cd 0.0000 0.0000 0.5000  6 Cl 3.10
Cl 0.0000 0.0000 0.3306  1 Al 2.15
Cl 0.0085 0.3808 0.4360  1 Al 2.16

Computed properties:
**Formation energy from raw total energies**: -1445 meV per atom
**Calculated density**: 2.218 g/cm³



Below is a relaxed Ce2CuSi3Ni4 crystal, with properties calculated at the PBE level.

Lattice parameters (Å, degrees): 4.0134 4.0134 9.5839 90.00 90.00 90.00
Last column: nearest neighbours and their distance in Å.
Space group P-4m2 (No. 115)
Symmetry-distinct sites (fractional):
Ce 0.0000 0.5000 0.2489  8 Ni 3.04-3.13, 6 Si 3.08-3.12, 2 Cu 3.12
Cu 0.5000 0.5000 0.0000  4 Ni 2.38
Si 0.0000 0.0000 0.0000  4 Ni 2.38
Si 0.0000 0.5000 0.6251  5 Ni 2.31-2.34
Ni 0.0000 0.0000 0.5000  4 Si 2.34
Ni 0.0000 0.5000 0.8662  3 Si 2.31-2.38, 2 Cu 2.38
Ni 0.5000 0.5000 0.5000  4 Si 2.34

Computed properties:
**Formation energy from raw total energies**: -678 meV per atom
**Calculated density**: 7.130 g/cm³



Below is a relaxed Ce2Pt9Au crystal, with properties calculated at the PBE level.

Lattice parameters (Å, degrees): 5.4102 5.4102 26.6691 90.00 90.00 120.00
Last column: nearest neighbours and their distance in Å.
Space group R-3m (No. 166, hexagonal axes)
Symmetry-distinct sites (fractional):
Ce 0.0000 0.0000 0.1337  9 Pt 3.00-3.24
Pt 0.0000 0.0000 0.3323  6 Pt 2.72-2.79
Pt 0.0000 0.0000 0.5000  6 Pt 2.69
Pt 0.0043 0.5021 0.9150  7 Pt 2.67-2.79
Au 0.0000 0.0000 0.0000  6 Pt 3.12

Computed properties:
**Calculated density**: 16.455 g/cm³
**Formation enthalpy at 0 K**: -565 meV per atom
**E above lowest polymorph**: 0.073 eV per atom



Below is a relaxed Ce4Pu2Sb3H2 crystal, with properties calculated at the PBE level.

Lattice parameters (Å, degrees): 4.4196 4.4196 29.8159 90.00 90.00 90.00
Last column: nearest neighbours and their distance in Å.
Space group I4/mmm (No. 139)
Symmetry-distinct sites (fractional):
Ce 0.0000 0.5000 0.2031  4 H 2.59-2.65, 1 Ce 2.80
Pu 0.0000 0.0000 0.1011  5 Sb 3.02-3.19
Sb 0.0000 0.0000 0.0000  2 Pu 3.02
Sb 0.0000 0.0000 0.3782  4 Pu 3.19, 4 Ce 3.28
H 0.0000 0.0000 0.2482  8 Ce 2.59-2.65

Computed properties:
**Total DFT energy (no corrections)**: -147.14 eV per cell
**Calculated density**: 8.073 g/cm³



Below is a relaxed Nd2Y6Zr crystal, with properties calculated at the PBE level.

Lattice parameters (Å, degrees): 6.9858 8.4781 11.2974 96.96 107.74 107.46
Last column: nearest neighbours and their distance in Å.
Space group P-1 (No. 2)
Symmetry-distinct sites (fractional):
Nd 0.0948 0.3168 0.4874  8 Y 3.40-3.81, 2 Nd 3.59-3.74
Nd 0.4026 0.9722 0.7494  8 Y 3.49-3.73, 1 Nd 3.59, 1 Zr 3.82
Y 0.0961 0.9481 0.2914  4 Y 3.31-3.58, 3 Nd 3.55-3.65
Y 0.1061 0.8394 0.9651  2 Zr 3.12-3.36, 4 Y 3.42-3.48
Y 0.1403 0.5019 0.7844  2 Zr 3.15-3.38, 2 Y 3.37-3.42, 1 Nd 3.40
Y 0.3804 0.2625 0.9866  2 Zr 3.19-3.32, 4 Y 3.37-3.48, 1 Nd 3.49
Y 0.3817 0.3512 0.2879  1 Zr 3.10, 4 Y 3.29-3.47, 1 Nd 3.43
Y 0.3979 0.7471 0.4428  4 Y 3.29-3.64, 3 Nd 3.61-3.66, 1 Zr 3.66
Zr 0.2277 0.5648 0.1008  1 Zr 3.07, 7 Y 3.10-3.38

Computed properties:
**Calculated density**: 5.131 g/cm³
**Formation enthalpy at 0 K**: 144 meV per atom



Below is a relaxed Y2ZnBTe crystal, with properties calculated at the PBE level.

Lattice parameters (Å, degrees): 5.0039 5.0039 4.7955 90.00 90.00 90.00
Last column: nearest neighbours and their distance in Å.
Space group P4/mmm (No. 123)
Symmetry-distinct sites (fractional):
Y 0.0000 0.5000 0.0000  2 B 2.50
Zn 0.0000 0.0000 0.5000  8 Y 3.47, 4 Te 3.54
B 0.5000 0.5000 0.0000  2 Te 2.40, 4 Y 2.50
Te 0.5000 0.5000 0.5000  2 B 2.40

Computed properties:
**Formation energy from raw total energies**: -25 meV per atom
**Calculated density**: 5.278 g/cm³



Below is a relaxed Ba3ZrGa crystal, with properties calculated at the PBE level.

Lattice parameters (Å, degrees): 6.3232 6.3232 6.3232 90.00 90.00 90.00
Last column: nearest neighbours and their distance in Å.
Space group Pm-3m (No. 221)
Symmetry-distinct sites (fractional):
Ba 0.0000 0.0000 0.5000  2 Ga 3.16
Zr 0.5000 0.5000 0.5000  12 Ba 4.47
Ga 0.0000 0.0000 0.0000  6 Ba 3.16

Computed properties:
**Calculated density**: 3.763 g/cm³
**Formation enthalpy at 0 K**: 690 meV per atom
**E above lowest polymorph**: 0.000 eV per atom



Below is a relaxed PrSmCu crystal, with properties calculated at the PBE level.

Lattice parameters (Å, degrees): 3.7069 3.7069 7.1598 90.00 90.00 120.00
Last column: nearest neighbours and their distance in Å.
Space group P3m1 (No. 156)
Symmetry-distinct sites (fractional):
Pr 0.0000 0.0000 0.0000  3 Cu 3.00
Sm 0.6667 0.3333 0.4261  3 Cu 2.93
Cu 0.3333 0.6667 0.7058  3 Sm 2.93, 3 Pr 3.00

Computed properties:
**Calculated density**: 6.915 g/cm³
**Formation enthalpy at 0 K**: 59 meV per atom
**E above lowest polymorph**: 0.134 eV per atom



Below is a relaxed GeSb2TePd crystal, with properties calculated at the PBE level.

Lattice parameters (Å, degrees): 5.2905 5.2905 5.2930 90.00 90.00 90.00
Last column: nearest neighbours and their distance in Å.
Space group P4/mmm (No. 123)
Symmetry-distinct sites (fractional):
Ge 0.0000 0.0000 0.0000  4 Sb 2.65, 2 Te 2.65
Sb 0.0000 0.5000 0.0000  2 Ge 2.65
Te 0.0000 0.0000 0.5000  2 Ge 2.65
Pd 0.5000 0.5000 0.5000  4 Te 3.74, 8 Sb 3.74

Computed properties:
**Formation energy from raw total energies**: 808 meV per atom
**Calculated density**: 6.167 g/cm³
**E above lowest polymorph**: 0.353 eV per atom



Below is a relaxed TaSi2Pt crystal, with properties calculated at the PBE level.

Lattice parameters (Å, degrees): 6.7228 6.7228 5.8956 90.00 90.00 90.00
Last column: nearest neighbours and their distance in Å.
Space group I-42d (No. 122)
Symmetry-distinct sites (fractional):
Ta 0.0000 0.0000 0.0000  4 Si 2.62
Si 0.2215 0.2500 0.6250  2 Pt 2.36, 2 Ta 2.62
Pt 0.0000 0.0000 0.5000  4 Si 2.36

Computed properties:
**Formation energy from raw total energies**: -49 meV per atom
**Calculated density**: 10.774 g/cm³



Below is a relaxed AcAgP2 crystal, with properties calculated at the PBE level.

Lattice parameters (Å, degrees): 7.1065 7.1065 7.1065 90.00 90.00 90.00
Last column: nearest neighbours and their distance in Å.
Space group Fm-3m (No. 225)
Symmetry-distinct sites (fractional):
Ac 0.0000 0.0000 0.0000  8 P 3.08
Ag 0.0000 0.0000 0.5000  8 P 3.08
P 0.2500 0.2500 0.2500  4 Ac 3.08, 4 Ag 3.08

Computed properties:
**Calculated density**: 7.344 g/cm³
**Formation enthalpy at 0 K**: -300 meV per atom
**E above lowest polymorph**: 0.044 eV per atom



Below is a relaxed ZnCd2In3Hg6 crystal, with properties calculated at the PBE level.

Lattice parameters (Å, degrees): 5.9935 12.6742 8.6220 90.00 109.68 90.00
Last column: nearest neighbours and their distance in Å.
Space group C2/m (No. 12)
Symmetry-distinct sites (fractional):
Zn 0.0000 0.0000 0.0000  6 Hg 2.83-2.91
Cd 0.0000 0.3462 0.0000  6 Hg 2.95-3.07
In 0.0000 0.1839 0.5000  6 Hg 3.09-3.11, 2 In 3.43
In 0.0000 0.5000 0.5000  6 Hg 3.12
Hg 0.2140 0.0000 0.7426  1 Zn 2.91, 2 Cd 3.02, 3 In 3.11-3.12
Hg 0.2260 0.1602 0.2268  1 Zn 2.83, 2 Cd 2.95-3.07, 3 In 3.09-3.12

Computed properties:
**Calculated density**: 9.899 g/cm³
**Formation enthalpy at 0 K**: 33 meV per atom



Below is a relaxed Na9Cd2Au3 crystal, with properties calculated at the PBE level.

Lattice parameters (Å, degrees): 15.3512 8.4749 12.9470 90.00 110.52 90.00
Last column: nearest neighbours and their distance in Å.
Space group C2/c (No. 15)
Symmetry-distinct sites (fractional):
Na 0.0000 0.1931 0.2500  2 Au 3.14, 2 Cd 3.32, 2 Na 3.45
Na 0.0786 0.4192 0.8759  2 Au 2.93-3.04, 2 Cd 3.13-3.18, 1 Na 3.27
Na 0.1020 0.0739 0.0534  3 Au 2.99-3.09, 1 Cd 3.18, 2 Na 3.20
Na 0.1887 0.2201 0.7432  2 Au 3.06-3.13, 2 Cd 3.21-3.33, 3 Na 3.27-3.42
Na 0.2208 0.0984 0.4266  3 Au 3.09-3.19, 4 Na 3.13-3.45, 1 Cd 3.28
Cd 0.1099 0.4306 0.1319  2 Au 2.91-2.99, 4 Na 3.13-3.21
Au 0.0708 0.2815 0.5014  2 Cd 2.91-2.99, 7 Na 3.04-3.19
Au 0.2500 0.2500 0.0000  8 Na 2.93-3.13

Computed properties:
**Calculated density**: 4.306 g/cm³
**Formation enthalpy at 0 K**: -173 meV per atom



Below is a relaxed BaLaI2O crystal, with properties calculated at the PBE level.

Lattice parameters (Å, degrees): 6.6940 6.6940 4.5786 90.00 90.00 90.00
Last column: nearest neighbours and their distance in Å.
Space group P4/mmm (No. 123)
Symmetry-distinct sites (fractional):
Ba 0.0000 0.0000 0.0000  2 O 2.29
La 0.5000 0.5000 0.5000  8 I 4.06
I 0.0000 0.5000 0.0000  2 Ba 3.35
O 0.0000 0.0000 0.5000  2 Ba 2.29

Computed properties:
**Formation energy from raw total energies**: -989 meV per atom
**Calculated density**: 4.420 g/cm³
**E above lowest polymorph**: 0.876 eV per atom



Below is a relaxed V2BCl crystal, with properties calculated at the PBE level.

Lattice parameters (Å, degrees): 5.1000 5.1000 9.6778 90.00 90.00 90.00
Last column: nearest neighbours and their distance in Å.
Space group I-42d (No. 122)
Symmetry-distinct sites (fractional):
V 0.1937 0.2500 0.1250  2 B 2.02
B 0.0000 0.0000 0.0000  4 V 2.02
Cl 0.0000 0.0000 0.5000  4 V 2.35

Computed properties:
**Formation energy from raw total energies**: 336 meV per atom
**Calculated density**: 3.909 g/cm³
**E above lowest polymorph**: 0.000 eV per atom



Below is a relaxed Ce5SiAs4 crystal, with properties calculated at the PBE level.

Lattice parameters (Å, degrees): 9.4164 9.4164 5.9544 90.00 90.00 90.00
Last column: nearest neighbours and their distance in Å.
Space group I4/m (No. 87)
Symmetry-distinct sites (fractional):
Ce 0.0000 0.0000 0.0000  2 Si 2.98, 4 As 2.98
Ce 0.1001 0.2991 0.5000  1 Si 2.97, 5 As 2.98
Si 0.0000 0.0000 0.5000  6 Ce 2.97-2.98
As 0.0993 0.3005 0.0000  6 Ce 2.98

Computed properties:
**Formation energy from raw total energies**: -1237 meV per atom
**Calculated density**: 6.469 g/cm³



Below is a relaxed Zr3BePt crystal, with properties calculated at the PBE level.

Lattice parameters (Å, degrees): 4.6234 4.6234 4.6234 90.00 90.00 90.00
Last column: nearest neighbours and their distance in Å.
Space group Pm-3m (No. 221)
Symmetry-distinct sites (fractional):
Zr 0.0000 0.0000 0.5000  2 Be 2.31
Be 0.0000 0.0000 0.0000  6 Zr 2.31
Pt 0.5000 0.5000 0.5000  12 Zr 3.27

Computed properties:
**Calculated density**: 8.028 g/cm³
**Formation enthalpy at 0 K**: 108 meV per atom
**E above lowest polymorph**: 0.000 eV per atom



Below is a relaxed Cs2BaHgF6 crystal, with properties calculated at the PBE level.

Lattice parameters (Å, degrees): 6.7875 9.7660 7.0975 90.00 90.00 90.00
Last column: nearest neighbours and their distance in Å.
Space group Pmmn (No. 59, origin choice 2)
Symmetry-distinct sites (fractional):
Cs 0.2500 0.0162 0.2146  9 F 3.08-3.39
Ba 0.2500 0.2500 0.7232  6 F 2.56-2.58
Hg 0.2500 0.7500 0.7697  6 F 2.33-2.37
F 0.0045 0.2500 0.4497  1 Hg 2.33, 1 Ba 2.56
F 0.0103 0.7500 0.0116  1 Hg 2.37, 1 Ba 2.58
F 0.2500 0.5089 0.7816  1 Hg 2.36, 1 Ba 2.56

Computed properties:
**Formation energy from raw total energies**: -2666 meV per atom
**Calculated density**: 5.066 g/cm³



Below is a relaxed PuScInGa crystal, with properties calculated at the PBE level.

Lattice parameters (Å, degrees): 7.1824 7.1824 7.1824 90.00 90.00 90.00
Last column: nearest neighbours and their distance in Å.
Space group F-43m (No. 216)
Symmetry-distinct sites (fractional):
Pu 0.0000 0.0000 0.0000  4 Ga 3.11, 4 In 3.11
Sc 0.0000 0.0000 0.5000  4 In 3.11, 4 Ga 3.11
In 0.2500 0.2500 0.7500  4 Sc 3.11, 4 Pu 3.11
Ga 0.2500 0.2500 0.2500  4 Sc 3.11, 4 Pu 3.11

Computed properties:
**Calculated density**: 8.488 g/cm³
**Formation enthalpy at 0 K**: -299 meV per atom
**E above lowest polymorph**: 0.076 eV per atom



Below is a relaxed LaBeAs2 crystal, with properties calculated at the PBE level.

Lattice parameters (Å, degrees): 3.7162 4.2008 5.8541 90.00 90.00 90.00
Last column: nearest neighbours and their distance in Å.
Space group Pmmm (No. 47)
Symmetry-distinct sites (fractional):
La 0.0000 0.0000 0.0000  8 As 3.18
Be 0.0000 0.5000 0.5000  4 As 2.35
As 0.5000 0.5000 0.2546  2 Be 2.35

Computed properties:
**Calculated density**: 5.410 g/cm³
**Formation enthalpy at 0 K**: -563 meV per atom



Below is a relaxed Tm4Cu2N crystal, with properties calculated at the PBE level.

Lattice parameters (Å, degrees): 4.6416 4.6416 13.5711 90.00 90.00 90.00
Last column: nearest neighbours and their distance in Å.
Space group I4/mmm (No. 139)
Symmetry-distinct sites (fractional):
Tm 0.0000 0.0000 0.1787  1 N 2.43, 1 Cu 2.69
Tm 0.0000 0.5000 0.0000  2 N 2.32
Cu 0.0000 0.0000 0.3773  5 Tm 2.69-2.86
N 0.0000 0.0000 0.0000  6 Tm 2.32-2.43

Computed properties:
**Formation energy from raw total energies**: -536 meV per atom
**Calculated density**: 9.278 g/cm³



Below is a relaxed Bi3Pt2 crystal, with properties calculated at the PBE level.

Lattice parameters (Å, degrees): 7.3245 7.3245 17.1975 90.00 90.00 120.00
Last column: nearest neighbours and their distance in Å.
Space group R-3c (No. 167, hexagonal axes)
Symmetry-distinct sites (fractional):
Bi 0.0000 0.3279 0.2500  4 Pt 2.78-2.87
Pt 0.0000 0.0000 0.1586  6 Bi 2.78-2.87

Computed properties:
**Calculated density**: 12.683 g/cm³
**Formation enthalpy at 0 K**: -216 meV per atom
**E above lowest polymorph**: 0.000 eV per atom



Below is a relaxed LaPOs crystal, with properties calculated at the PBE level.

Lattice parameters (Å, degrees): 4.0649 4.0649 4.4343 90.00 90.00 120.00
Last column: nearest neighbours and their distance in Å.
Space group P-6m2 (No. 187)
Symmetry-distinct sites (fractional):
La 0.0000 0.0000 0.0000  6 Os 3.23, 6 P 3.23
P 0.3333 0.6667 0.5000  3 Os 2.35
Os 0.6667 0.3333 0.5000  3 P 2.35

Computed properties:
**Calculated density**: 9.424 g/cm³
**Formation enthalpy at 0 K**: -706 meV per atom